Here is a geometry-optimized BaIBr structure from Alexandria. Energies are from PBE.

Results
Density, g/cm³: 4.93
DFT total energy, eV/atom: -3.725
Magnetic moment, μB/atom: 0.000
Uncorrected formation energy, meV/atom: -2009.8

Geometry as CIF:
```
data_BaIBr
_chemical_formula_sum 'Ba3 I3 Br3'
_space_group_name_H-M_alt 'P -6 2 m'
_space_group_IT_number 189
_space_group_name_Hall 'P -6 -2'
_cell_length_a 8.8093
_cell_length_b 8.8093
_cell_length_c 5.1716
_cell_angle_alpha 90.00
_cell_angle_beta 90.00
_cell_angle_gamma 120.00
loop_
_atom_site_label
_atom_site_type_symbol
_atom_site_fract_x
_atom_site_fract_y
_atom_site_fract_z
_atom_site_occupancy
Ba1 Ba 0.0000 0.0000 0.0000 1
Ba2 Ba 0.3333 0.6667 0.5000 1
I1 I 0.0000 0.4113 0.0000 1
Br1 Br 0.0000 0.7461 0.5000 1
```

=====

Here is a geometry-optimized Ba2IBr structure from Alexandria. Energies are from PBE.

Results
Density, g/cm³: 4.92
DFT total energy, eV/atom: -3.178
Magnetic moment, μB/atom: 0.000
Uncorrected formation energy, meV/atom: -1411.3

Geometry as CIF:
```
data_Ba2IBr
_chemical_formula_sum 'Ba6 I3 Br3'
_space_group_name_H-M_alt 'R -3 m'
_space_group_IT_number 166
_space_group_name_Hall '-R 3 2"'
_cell_length_a 4.7421
_cell_length_b 4.7421
_cell_length_c 25.0348
_cell_angle_alpha 90.00
_cell_angle_beta 90.00
_cell_angle_gamma 120.00
loop_
_atom_site_label
_atom_site_type_symbol
_atom_site_fract_x
_atom_site_fract_y
_atom_site_fract_z
_atom_site_occupancy
Ba1 Ba 0.0000 0.0000 0.2408 1
I1 I 0.0000 0.0000 0.0000 1
Br1 Br 0.0000 0.0000 0.5000 1
```

=====

Here is a geometry-optimized BaIBr structure from Alexandria. Energies are from PBE.

Results
Density, g/cm³: 4.32
DFT total energy, eV/atom: -3.705
Magnetic moment, μB/atom: 0.000
Uncorrected formation energy, meV/atom: -1989.6

Geometry as CIF:
```
data_BaIBr
_chemical_formula_sum 'Ba2 I2 Br2'
_space_group_name_H-M_alt 'P 4/n m m'
_space_group_IT_number 129
_cell_length_a 5.7272
_cell_length_b 5.7272
_cell_length_c 8.0706
_cell_angle_alpha 90.00
_cell_angle_beta 90.00
_cell_angle_gamma 90.00
loop_
_space_group_symop_operation_xyz
'x,y,z'
'-x,-y,-z'
'-y+1/2,x,z'
'y+1/2,-x,-z'
'-x+1/2,-y+1/2,z'
'x+1/2,y+1/2,-z'
'y,-x+1/2,z'
'-y,x+1/2,-z'
'x+1/2,-y,-z'
'-x+1/2,y,z'
'-y,-x,-z'
'y,x,z'
'-x,y+1/2,-z'
'x,-y+1/2,z'
'y+1/2,x+1/2,-z'
'-y+1/2,-x+1/2,z'
loop_
_atom_site_label
_atom_site_type_symbol
_atom_site_fract_x
_atom_site_fract_y
_atom_site_fract_z
_atom_site_occupancy
Ba1 Ba 0.2500 0.2500 0.2314 1
I1 I 0.2500 0.7500 0.5000 1
Br1 Br 0.2500 0.7500 0.0000 1
```

=====

Here is a geometry-optimized BaIBr2 structure from Alexandria. Energies are from PBE.

Results
Density, g/cm³: 3.23
DFT total energy, eV/atom: -3.043
Magnetic moment, μB/atom: 0.250
Uncorrected formation energy, meV/atom: -1338.0

Geometry as CIF:
```
data_BaIBr2
_chemical_formula_sum 'Ba3 I3 Br6'
_space_group_name_H-M_alt 'R -3 m'
_space_group_IT_number 166
_space_group_name_Hall '-R 3 2"'
_cell_length_a 5.1797
_cell_length_b 5.1797
_cell_length_c 28.1455
_cell_angle_alpha 90.00
_cell_angle_beta 90.00
_cell_angle_gamma 120.00
loop_
_atom_site_label
_atom_site_type_symbol
_atom_site_fract_x
_atom_site_fract_y
_atom_site_fract_z
_atom_site_occupancy
Ba1 Ba 0.0000 0.0000 0.0000 1
I1 I 0.0000 0.0000 0.5000 1
Br1 Br 0.0000 0.0000 0.3816 1
```

=====

Q: Look up the uncorrected formation energy of the third one.
A: -1989.6 meV/atom